[1]
This record from Alexandria via LeMat-Bulk describes a relaxed structure of Nd2Si2Au3. The functional is PBE.

**Space group**: No. 12
**E**: -0.182 hartree per atom
**Raw formation energy**: -61.43 kJ per mole of atoms

Cell: 10.6161 4.1509 7.3241 Å, 90.00 115.21 90.00°
Last column: nearest neighbours and their distance in Å.
Atoms (fractional coordinates):
Nd  0.1421  0.0000  0.2722  4 Si 3.03-3.13, 6 Au 3.13-3.39
Nd  0.3579  0.5000  0.7278  4 Si 3.03-3.13, 6 Au 3.13-3.39
Nd  0.6421  0.5000  0.2722  4 Si 3.03-3.13, 6 Au 3.13-3.39
Nd  0.8579  0.0000  0.7278  4 Si 3.03-3.13, 6 Au 3.13-3.39
Si  0.1424  0.0000  0.7003  5 Au 2.62-2.79
Si  0.3576  0.5000  0.2997  5 Au 2.62-2.79
Si  0.6424  0.5000  0.7003  5 Au 2.62-2.79
Si  0.8576  0.0000  0.2997  5 Au 2.62-2.79
Au  0.0000  0.5000  0.5000  4 Si 2.62, 2 Au 2.93
Au  0.1229  0.5000  0.9418  3 Si 2.74-2.79, 1 Au 2.93
Au  0.3771  0.0000  0.0582  3 Si 2.74-2.79, 1 Au 2.93
Au  0.5000  0.0000  0.5000  4 Si 2.62, 2 Au 2.93
Au  0.6229  0.0000  0.9418  3 Si 2.74-2.79, 1 Au 2.93
Au  0.8771  0.5000  0.0582  3 Si 2.74-2.79, 1 Au 2.93

---

[2]
This record from Alexandria via LeMat-Bulk describes a relaxed structure of Nd3Si4Au2. The functional is PBE.

**Space group**: No. 12
**E**: -0.203 hartree per atom
**Raw formation energy**: -77.84 kJ per mole of atoms

Cell: 5.9743 5.9743 8.4143 Å, 99.90 99.90 41.68°
Last column: nearest neighbours and their distance in Å.
Atoms (fractional coordinates):
Nd  0.0000  0.0000  0.0000  8 Si 3.20-3.24, 4 Au 3.25
Nd  0.3372  0.3372  0.3289  8 Si 3.16-3.30, 4 Au 3.18-3.25
Nd  0.6628  0.6628  0.6711  8 Si 3.16-3.30, 4 Au 3.18-3.25
Si  0.0543  0.0543  0.3919  1 Si 2.37, 2 Au 2.46
Si  0.2768  0.2768  0.9465  2 Si 2.43, 1 Au 2.45
Si  0.7232  0.7232  0.0535  2 Si 2.43, 1 Au 2.45
Si  0.9457  0.9457  0.6081  1 Si 2.37, 2 Au 2.46
Au  0.3866  0.3866  0.7196  3 Si 2.45-2.46
Au  0.6134  0.6134  0.2804  3 Si 2.45-2.46

---

[3]
This record from Alexandria via LeMat-Bulk describes a relaxed structure of Nd3Si4Au7. The functional is PBE.

**Space group**: No. 12
**E**: -0.177 hartree per atom
**Raw formation energy**: -57.36 kJ per mole of atoms

Cell: 8.4227 8.4227 9.6167 Å, 124.37 124.37 30.14°
Last column: nearest neighbours and their distance in Å.
Atoms (fractional coordinates):
Nd  0.0000  0.0000  0.0000  6 Si 3.14-3.29, 10 Au 3.23-3.50
Nd  0.3133  0.3133  0.3123  4 Si 3.14-3.15, 10 Au 3.15-3.41
Nd  0.6867  0.6867  0.6877  4 Si 3.14-3.15, 10 Au 3.15-3.41
Si  0.1219  0.1219  0.8396  6 Au 2.65-2.78
Si  0.3357  0.3357  0.7185  5 Au 2.53-2.66
Si  0.6643  0.6643  0.2815  5 Au 2.53-2.66
Si  0.8781  0.8781  0.1604  6 Au 2.65-2.78
Au  0.0000  0.0000  0.5000  2 Si 2.65
Au  0.1567  0.1567  0.4131  3 Si 2.57-2.66
Au  0.3211  0.3211  0.9660  4 Si 2.53-2.71, 1 Au 2.79
Au  0.4923  0.4923  0.7131  3 Si 2.58-2.78, 1 Au 2.79
Au  0.5077  0.5077  0.2869  3 Si 2.58-2.78, 1 Au 2.79
Au  0.6789  0.6789  0.0340  4 Si 2.53-2.71, 1 Au 2.79
Au  0.8433  0.8433  0.5869  3 Si 2.57-2.66

---

[4]
This record from Alexandria via LeMat-Bulk describes a relaxed structure of Nd3Si2Au4. The functional is PBE.

**Space group**: No. 12
**E**: -0.185 hartree per atom
**Raw formation energy**: -75.78 kJ per mole of atoms

Cell: 5.9799 5.9799 8.8039 Å, 107.92 107.92 43.73°
Last column: nearest neighbours and their distance in Å.
Atoms (fractional coordinates):
Nd  0.0000  0.0000  0.0000  8 Au 3.15-3.44, 4 Si 3.24
Nd  0.3357  0.3357  0.3362  4 Si 3.20-3.29, 8 Au 3.20-3.42
Nd  0.6643  0.6643  0.6638  4 Si 3.20-3.29, 8 Au 3.20-3.42
Si  0.3937  0.3937  0.7196  3 Au 2.51-2.52
Si  0.6063  0.6063  0.2804  3 Au 2.51-2.52
Au  0.0599  0.0599  0.3816  2 Si 2.51
Au  0.2873  0.2873  0.9314  1 Si 2.52, 2 Au 2.79
Au  0.7127  0.7127  0.0686  1 Si 2.52, 2 Au 2.79
Au  0.9401  0.9401  0.6184  2 Si 2.51

---

[5]
This record from Alexandria via LeMat-Bulk describes a relaxed structure of Nd3Si3Au2. The functional is PBE.

**Space group**: No. 63
**E**: -0.198 hartree per atom
**Raw formation energy**: -72.25 kJ per mole of atoms

Cell: 5.8847 5.8847 14.6607 Å, 90.00 90.00 136.11°
Last column: nearest neighbours and their distance in Å.
Atoms (fractional coordinates):
Nd  0.0859  0.9141  0.6139  6 Si 3.08-3.19, 4 Au 3.18-3.30
Nd  0.0859  0.9141  0.8861  6 Si 3.08-3.19, 4 Au 3.18-3.30
Nd  0.3681  0.6319  0.7500  5 Si 3.10-3.21, 4 Au 3.29
Nd  0.6319  0.3681  0.2500  5 Si 3.10-3.21, 4 Au 3.29
Nd  0.9141  0.0859  0.1139  6 Si 3.08-3.19, 4 Au 3.18-3.30
Nd  0.9141  0.0859  0.3861  6 Si 3.08-3.19, 4 Au 3.18-3.30
Si  0.3375  0.6625  0.2500  2 Au 2.72
Si  0.3994  0.6006  0.5396  1 Si 2.48, 2 Au 2.60
Si  0.3994  0.6006  0.9604  1 Si 2.48, 2 Au 2.60
Si  0.6006  0.3994  0.0396  1 Si 2.48, 2 Au 2.60
Si  0.6006  0.3994  0.4604  1 Si 2.48, 2 Au 2.60
Si  0.6625  0.3375  0.7500  2 Au 2.72
Au  0.2057  0.7943  0.0929  4 Si 2.60-2.87
Au  0.2057  0.7943  0.4071  4 Si 2.60-2.87
Au  0.7943  0.2057  0.5929  4 Si 2.60-2.87
Au  0.7943  0.2057  0.9071  4 Si 2.60-2.87

---

[6]
This record from Alexandria via LeMat-Bulk describes a relaxed structure of NdSiAu4. The functional is PBE.

**Space group**: No. 51
**E**: -0.159 hartree per atom
**Raw formation energy**: -42.07 kJ per mole of atoms

Cell: 7.7579 4.0688 7.6644 Å, 90.00 90.00 90.00°
Last column: nearest neighbours and their distance in Å.
Atoms (fractional coordinates):
Nd  0.2500  0.0000  0.1028  1 Si 3.05, 10 Au 3.08-3.28
Nd  0.7500  0.0000  0.8972  1 Si 3.05, 10 Au 3.08-3.28
Si  0.2500  0.0000  0.7049  6 Au 2.50-2.67
Si  0.7500  0.0000  0.2951  6 Au 2.50-2.67
Au  0.0000  0.0000  0.5000  2 Si 2.50
Au  0.0624  0.5000  0.8257  2 Si 2.67, 2 Au 2.84-2.91
Au  0.2500  0.5000  0.4045  6 Au 2.90-3.00, 2 Si 3.07, 2 Nd 3.08
Au  0.4376  0.5000  0.8257  2 Si 2.67, 2 Au 2.84-2.91
Au  0.5000  0.0000  0.5000  2 Si 2.50
Au  0.5624  0.5000  0.1743  2 Si 2.67, 2 Au 2.84-2.91
Au  0.7500  0.5000  0.5955  6 Au 2.90-3.00, 2 Si 3.07, 2 Nd 3.08
Au  0.9376  0.5000  0.1743  2 Si 2.67, 2 Au 2.84-2.91

---

[7]
This record from Alexandria via LeMat-Bulk describes a relaxed structure of Nd5Si2Au2. The functional is PBE.

**Space group**: No. 64
**E**: -0.193 hartree per atom
**Raw formation energy**: -65.73 kJ per mole of atoms

Cell: 8.8278 8.8278 7.7887 Å, 90.00 90.00 52.63°
Last column: nearest neighbours and their distance in Å.
Atoms (fractional coordinates):
Nd  0.0000  0.0000  0.0000  4 Si 3.13-3.15, 2 Au 3.30
Nd  0.0452  0.6870  0.6729  3 Au 3.08-3.16, 3 Si 3.13-3.16
Nd  0.1870  0.5452  0.1729  3 Au 3.08-3.16, 3 Si 3.13-3.16
Nd  0.3130  0.9548  0.6729  3 Au 3.08-3.16, 3 Si 3.13-3.16
Nd  0.4548  0.8130  0.1729  3 Au 3.08-3.16, 3 Si 3.13-3.16
Nd  0.5000  0.5000  0.5000  4 Si 3.13-3.15, 2 Au 3.30
Nd  0.5452  0.1870  0.8271  3 Au 3.08-3.16, 3 Si 3.13-3.16
Nd  0.6870  0.0452  0.3271  3 Au 3.08-3.16, 3 Si 3.13-3.16
Nd  0.8130  0.4548  0.8271  3 Au 3.08-3.16, 3 Si 3.13-3.16
Nd  0.9548  0.3130  0.3271  3 Au 3.08-3.16, 3 Si 3.13-3.16
Si  0.1150  0.8850  0.3844  1 Si 2.55
Si  0.3850  0.6150  0.8844  1 Si 2.55
Si  0.6150  0.3850  0.1156  1 Si 2.55
Si  0.8850  0.1150  0.6156  1 Si 2.55
Au  0.2084  0.2084  0.0000  7 Nd 3.08-3.30
Au  0.2916  0.2916  0.5000  7 Nd 3.08-3.30
Au  0.7084  0.7084  0.5000  7 Nd 3.08-3.30
Au  0.7916  0.7916  0.0000  7 Nd 3.08-3.30

---

[8]
This record from Alexandria via LeMat-Bulk describes a relaxed structure of Nd3Si2Au3. The functional is PBE.

**Space group**: No. 63
**E**: -0.188 hartree per atom
**Raw formation energy**: -72.93 kJ per mole of atoms

Cell: 5.8755 5.8755 15.3502 Å, 90.00 90.00 136.36°
Last column: nearest neighbours and their distance in Å.
Atoms (fractional coordinates):
Nd  0.0857  0.9143  0.6043  7 Au 3.15-3.31, 4 Si 3.16-3.49
Nd  0.0857  0.9143  0.8957  7 Au 3.15-3.31, 4 Si 3.16-3.49
Nd  0.3738  0.6262  0.7500  5 Au 3.09-3.22, 4 Si 3.21
Nd  0.6262  0.3738  0.2500  5 Au 3.09-3.22, 4 Si 3.21
Nd  0.9143  0.0857  0.1043  7 Au 3.15-3.31, 4 Si 3.16-3.49
Nd  0.9143  0.0857  0.3957  7 Au 3.15-3.31, 4 Si 3.16-3.49
Si  0.2041  0.7959  0.1068  3 Au 2.56-2.67
Si  0.2041  0.7959  0.3932  3 Au 2.56-2.67
Si  0.7959  0.2041  0.6068  3 Au 2.56-2.67
Si  0.7959  0.2041  0.8932  3 Au 2.56-2.67
Au  0.3429  0.6571  0.2500  2 Si 2.67
Au  0.3758  0.6242  0.5411  2 Si 2.56
Au  0.3758  0.6242  0.9589  2 Si 2.56
Au  0.6242  0.3758  0.0411  2 Si 2.56
Au  0.6242  0.3758  0.4589  2 Si 2.56
Au  0.6571  0.3429  0.7500  2 Si 2.67

---

[9]
This record from Alexandria via LeMat-Bulk describes a relaxed structure of NdSiAu2. The functional is PBE.

**Space group**: No. 47
**E**: -0.171 hartree per atom
**Raw formation energy**: -44.69 kJ per mole of atoms

Cell: 3.6269 4.4941 5.4661 Å, 90.00 90.00 90.00°
Last column: nearest neighbours and their distance in Å.
Atoms (fractional coordinates):
Nd  0.0000  0.0000  0.0000  8 Au 3.20, 4 Si 3.28
Si  0.5000  0.0000  0.5000  4 Au 2.63
Au  0.5000  0.5000  0.2503  2 Si 2.63, 2 Au 2.73-2.74
Au  0.5000  0.5000  0.7497  2 Si 2.63, 2 Au 2.73-2.74

---

[10]
This record from Alexandria via LeMat-Bulk describes a relaxed structure of Nd2Si2Au. The functional is PBE.

**Space group**: No. 12
**Polymorph energy (0 for the lowest one)**: 0 kJ/mol of formula units
**E**: -0.202 hartree per atom
**Raw formation energy**: -73.58 kJ per mole of atoms

Cell: 5.9474 5.9474 10.9379 Å, 116.06 116.06 42.88°
Last column: nearest neighbours and their distance in Å.
Atoms (fractional coordinates):
Nd  0.1035  0.1035  0.4054  6 Si 3.05-3.20, 2 Au 3.16
Nd  0.2898  0.2898  0.8458  4 Au 3.18-3.24, 7 Si 3.24-3.29
Nd  0.7102  0.7102  0.1542  4 Au 3.18-3.24, 7 Si 3.24-3.29
Nd  0.8965  0.8965  0.5946  6 Si 3.05-3.20, 2 Au 3.16
Si  0.0299  0.0299  0.9102  1 Si 2.35, 2 Au 2.51
Si  0.3857  0.3857  0.3939  1 Si 2.50, 1 Au 2.61
Si  0.6143  0.6143  0.6061  1 Si 2.50, 1 Au 2.61
Si  0.9701  0.9701  0.0898  1 Si 2.35, 2 Au 2.51
Au  0.4315  0.4315  0.1811  3 Si 2.51-2.61
Au  0.5685  0.5685  0.8189  3 Si 2.51-2.61